VASP calculation (GGA-PBE) on a relaxed structure of Zr2MnAs.

Results
The magnetic moment is 0.0 μB/f.u. The volume is 17.87 A^3/atom. The formation energy comes out at -0.216 eV/atom.

Geometry as CIF:
```
data_Zr2MnAs
_chemical_formula_sum 'Zr2 Mn1 As1'
_space_group_name_H-M_alt 'P 4 m m'
_space_group_IT_number 99
_cell_length_a 3.170
_cell_length_b 3.170
_cell_length_c 7.112
_cell_angle_alpha 90.00
_cell_angle_beta 90.00
_cell_angle_gamma 90.00
loop_
_space_group_symop_operation_xyz
'x,y,z'
'-y,x,z'
'-x,-y,z'
'y,-x,z'
'-x,y,z'
'y,x,z'
'x,-y,z'
'-y,-x,z'
loop_
_atom_site_label
_atom_site_type_symbol
_atom_site_fract_x
_atom_site_fract_y
_atom_site_fract_z
Zr1 Zr 0.000 0.000 0.000
Zr2 Zr 0.500 0.500 0.323
Mn1 Mn 0.500 0.500 0.761
As1 As 0.000 0.000 0.598
```